(1)
ThZr2N4 | PBE | optimized geometry

Cell lengths 5.6491, 5.6491, 10.8036 Å; angles 90.00, 90.00, 145.98 degrees
Fractional coordinates of all 14 atoms:
Th 0.1092 0.8908 0.7500
Th 0.8908 0.1092 0.2500
Zr 0.3663 0.6337 0.5670
Zr 0.3663 0.6337 0.9330
Zr 0.6337 0.3663 0.0670
Zr 0.6337 0.3663 0.4330
N 0.0000 0.0000 0.0000
N 0.0000 0.0000 0.5000
N 0.2677 0.7323 0.1145
N 0.2677 0.7323 0.3855
N 0.4550 0.5450 0.7500
N 0.5450 0.4550 0.2500
N 0.7323 0.2677 0.6145
N 0.7323 0.2677 0.8855

## Properties
Formation energy from raw total energies ... -1556.9 meV per atom
Density of states at the Fermi level ... 1.20 states/eV/cell
Magnetization ... 0.000 μB/atom
SG ... No. 63
Energy ... -137.432 eV for the cell shown

***

(2)
Th2ZrN | PBE | optimized geometry

Cell lengths 9.5396, 9.5396, 9.5396 Å; angles 20.82, 20.82, 20.82 degrees
Fractional coordinates of all 4 atoms:
Th 0.1121 0.1121 0.1121
Th 0.8879 0.8879 0.8879
Zr 0.0000 0.0000 0.0000
N 0.5000 0.5000 0.5000

## Properties
Formation energy from raw total energies ... -306.2 meV per atom
Density of states at the Fermi level ... 5.68 states/eV/cell
Magnetization ... 0.182 μB/atom
SG ... No. 166
Energy ... -32.938 eV for the cell shown